(1)
ZrCdGa2Au | PBE | optimized geometry

```
data_ZrCdGa2Au
_cell_length_a 4.844
_cell_length_b 4.844
_cell_length_c 5.127
_cell_angle_alpha 90.00
_cell_angle_beta 90.00
_cell_angle_gamma 90.00
_space_group_name_H-M_alt 'P 4/m m m'
_space_group_IT_number 123
_space_group_name_Hall '-P 4 2'
loop_
_atom_site_label
_atom_site_type_symbol
_atom_site_fract_x
_atom_site_fract_y
_atom_site_fract_z
_atom_site_occupancy
Zr1 Zr 0.000 0.000 0.000 1
Cd1 Cd 0.500 0.500 0.000 1
Ga1 Ga 0.000 0.500 0.500 1
Au1 Au 0.500 0.500 0.500 1
```

---

(2)
ZrCdGaAu | PBE | optimized geometry

```
data_ZrCdGaAu
_cell_length_a 6.772
_cell_length_b 6.772
_cell_length_c 6.772
_cell_angle_alpha 90.00
_cell_angle_beta 90.00
_cell_angle_gamma 90.00
_space_group_name_H-M_alt 'F -4 3 m'
_space_group_IT_number 216
_space_group_name_Hall 'F -4 2 3'
loop_
_atom_site_label
_atom_site_type_symbol
_atom_site_fract_x
_atom_site_fract_y
_atom_site_fract_z
_atom_site_occupancy
Zr1 Zr 0.000 0.000 0.000 1
Cd1 Cd 0.000 0.000 0.500 1
Ga1 Ga 0.250 0.250 0.250 1
Au1 Au 0.250 0.250 0.750 1
```

---

(3)
ZrCdGa2Au | PBE | optimized geometry

```
data_ZrCdGa2Au
_cell_length_a 5.309
_cell_length_b 5.309
_cell_length_c 5.217
_cell_angle_alpha 90.00
_cell_angle_beta 90.00
_cell_angle_gamma 90.00
_space_group_name_H-M_alt 'P 4/m m m'
_space_group_IT_number 123
_space_group_name_Hall '-P 4 2'
loop_
_atom_site_label
_atom_site_type_symbol
_atom_site_fract_x
_atom_site_fract_y
_atom_site_fract_z
_atom_site_occupancy
Zr1 Zr 0.000 0.000 0.000 1
Cd1 Cd 0.500 0.500 0.500 1
Ga1 Ga 0.000 0.500 0.000 1
Au1 Au 0.000 0.000 0.500 1
```

---

(4)
ZrCd2GaAu | PBE | optimized geometry

```
data_ZrCd2GaAu
_cell_length_a 5.711
_cell_length_b 5.711
_cell_length_c 5.200
_cell_angle_alpha 90.00
_cell_angle_beta 90.00
_cell_angle_gamma 90.00
_space_group_name_H-M_alt 'P 4/m m m'
_space_group_IT_number 123
_space_group_name_Hall '-P 4 2'
loop_
_atom_site_label
_atom_site_type_symbol
_atom_site_fract_x
_atom_site_fract_y
_atom_site_fract_z
_atom_site_occupancy
Zr1 Zr 0.000 0.000 0.000 1
Cd1 Cd 0.000 0.500 0.000 1
Ga1 Ga 0.500 0.500 0.500 1
Au1 Au 0.000 0.000 0.500 1
```

---

(5)
GdCdAu | PBE | optimized geometry

```
data_GdCdAu
_cell_length_a 4.8506
_cell_length_b 4.8506
_cell_length_c 3.4523
_cell_angle_alpha 90.00
_cell_angle_beta 90.00
_cell_angle_gamma 120.00
_space_group_name_H-M_alt 'P -6 m 2'
_space_group_IT_number 187
_space_group_name_Hall 'P -6 2'
loop_
_atom_site_label
_atom_site_type_symbol
_atom_site_fract_x
_atom_site_fract_y
_atom_site_fract_z
_atom_site_occupancy
Gd1 Gd 0.0000 0.0000 0.0000 1
Cd1 Cd 0.3333 0.6667 0.5000 1
Au1 Au 0.6667 0.3333 0.5000 1
```

---

(6)
GdCdAu2 | PBE | optimized geometry

```
data_GdCdAu2
_cell_length_a 7.041
_cell_length_b 7.041
_cell_length_c 7.041
_cell_angle_alpha 90.00
_cell_angle_beta 90.00
_cell_angle_gamma 90.00
_space_group_name_H-M_alt 'F m -3 m'
_space_group_IT_number 225
_space_group_name_Hall '-F 4 2 3'
loop_
_atom_site_label
_atom_site_type_symbol
_atom_site_fract_x
_atom_site_fract_y
_atom_site_fract_z
_atom_site_occupancy
Gd1 Gd 0.000 0.000 0.000 1
Cd1 Cd 0.000 0.000 0.500 1
Au1 Au 0.250 0.250 0.250 1
```

---

(7)
Gd2CdAu | PBE | optimized geometry

```
data_Gd2CdAu
_cell_length_a 7.398
_cell_length_b 7.398
_cell_length_c 7.398
_cell_angle_alpha 90.00
_cell_angle_beta 90.00
_cell_angle_gamma 90.00
_space_group_name_H-M_alt 'F m -3 m'
_space_group_IT_number 225
_space_group_name_Hall '-F 4 2 3'
loop_
_atom_site_label
_atom_site_type_symbol
_atom_site_fract_x
_atom_site_fract_y
_atom_site_fract_z
_atom_site_occupancy
Gd1 Gd 0.250 0.250 0.250 1
Cd1 Cd 0.000 0.000 0.000 1
Au1 Au 0.000 0.000 0.500 1
```

---

(8)
GdCdAu2 | PBE | optimized geometry

```
data_GdCdAu2
_cell_length_a 3.598
_cell_length_b 3.598
_cell_length_c 6.799
_cell_angle_alpha 90.00
_cell_angle_beta 90.00
_cell_angle_gamma 90.00
_space_group_name_H-M_alt 'P 4/m m m'
_space_group_IT_number 123
_space_group_name_Hall '-P 4 2'
loop_
_atom_site_label
_atom_site_type_symbol
_atom_site_fract_x
_atom_site_fract_y
_atom_site_fract_z
_atom_site_occupancy
Gd1 Gd 0.000 0.000 0.000 1
Cd1 Cd 0.000 0.000 0.500 1
Au1 Au 0.500 0.500 0.256 1
```

---

Computed energy of formation from the pure elements, in the same sequence as the records: 446, -286, 570, 759, -567, -652, -554, -579 meV/atom.